[1]
A relaxed structure of NbTcSe2N. Source: Alexandria, functional PBE.

a = 5.1858 Å, b = 5.1858 Å, c = 3.8761 Å
α = 90.00°, β = 90.00°, γ = 90.00°
With the nearest neighbours (Å) after each atom.
Sites, in units of the cell vectors:
Nb1 0.0000 0.0000 0.0000  2 N 1.94
Tc1 0.5000 0.5000 0.5000  8 Se 3.24
Se1 0.0000 0.5000 0.0000  2 Nb 2.59
Se2 0.5000 0.0000 0.0000  2 Nb 2.59
N1 0.0000 0.0000 0.5000  2 Nb 1.94

Computed properties:
- Crystal system: tetragonal



[2]
A relaxed structure of NbTcSe2N. Source: Alexandria, functional PBE.

a = 5.0457 Å, b = 5.0457 Å, c = 3.6762 Å
α = 90.00°, β = 90.00°, γ = 90.00°
With the nearest neighbours (Å) after each atom.
Sites, in units of the cell vectors:
Nb1 0.0000 0.0000 0.0000  8 Se 3.12
Tc1 0.5000 0.5000 0.5000  2 N 1.84
Se1 0.0000 0.5000 0.5000  2 Tc 2.52
Se2 0.5000 0.0000 0.5000  2 Tc 2.52
N1 0.5000 0.5000 0.0000  2 Tc 1.84

Computed properties:
- Crystal system: tetragonal



[3]
A relaxed structure of NbTeSe2N. Source: Alexandria, functional PBE.

a = 5.3806 Å, b = 5.3806 Å, c = 3.8833 Å
α = 90.00°, β = 90.00°, γ = 90.00°
With the nearest neighbours (Å) after each atom.
Sites, in units of the cell vectors:
Nb1 0.0000 0.0000 0.0000  8 Se 3.32
Te1 0.5000 0.5000 0.5000  2 N 1.94
Se1 0.0000 0.5000 0.5000  2 Te 2.69
Se2 0.5000 0.0000 0.5000  2 Te 2.69
N1 0.5000 0.5000 0.0000  2 Te 1.94

Computed properties:
- Crystal system: tetragonal



[4]
A relaxed structure of NbTeSe2N. Source: Alexandria, functional PBE.

a = 5.2523 Å, b = 5.2523 Å, c = 3.9079 Å
α = 90.00°, β = 90.00°, γ = 90.00°
With the nearest neighbours (Å) after each atom.
Sites, in units of the cell vectors:
Nb1 0.0000 0.0000 0.0000  2 N 1.95
Te1 0.5000 0.5000 0.5000  8 Se 3.27
Se1 0.0000 0.5000 0.0000  2 Nb 2.63
Se2 0.5000 0.0000 0.0000  2 Nb 2.63
N1 0.0000 0.0000 0.5000  2 Nb 1.95

Computed properties:
- Crystal system: tetragonal



[5]
A relaxed structure of NbTeSeN2. Source: Alexandria, functional PBE.

a = 3.9642 Å, b = 3.9642 Å, c = 5.3743 Å
α = 90.00°, β = 90.00°, γ = 90.00°
With the nearest neighbours (Å) after each atom.
Sites, in units of the cell vectors:
Nb1 0.0000 0.0000 0.0000  4 Te 2.80
Te1 0.5000 0.5000 0.0000  2 Se 2.69, 4 Nb 2.80
Se1 0.5000 0.5000 0.5000  4 N 1.98
N1 0.0000 0.5000 0.5000  2 Se 1.98
N2 0.5000 0.0000 0.5000  2 Se 1.98

Computed properties:
- Crystal system: tetragonal



[6]
A relaxed structure of NbTeSeN2. Source: Alexandria, functional PBE.

a = 4.0446 Å, b = 4.0446 Å, c = 5.4133 Å
α = 90.00°, β = 90.00°, γ = 90.00°
With the nearest neighbours (Å) after each atom.
Sites, in units of the cell vectors:
Nb1 0.0000 0.0000 0.0000  4 Se 2.86
Te1 0.5000 0.5000 0.5000  4 N 2.02
Se1 0.5000 0.5000 0.0000  2 Te 2.71, 4 Nb 2.86
N1 0.0000 0.5000 0.5000  2 Te 2.02
N2 0.5000 0.0000 0.5000  2 Te 2.02

Computed properties:
- Crystal system: tetragonal



[7]
A relaxed structure of NbTeSeN2. Source: Alexandria, functional PBE.

a = 4.0833 Å, b = 4.0833 Å, c = 5.5382 Å
α = 90.00°, β = 90.00°, γ = 90.00°
With the nearest neighbours (Å) after each atom.
Sites, in units of the cell vectors:
Nb1 0.0000 0.0000 0.0000  4 N 2.04
Te1 0.5000 0.5000 0.5000  4 Se 2.89
Se1 0.0000 0.0000 0.5000  2 Nb 2.77, 4 Te 2.89
N1 0.0000 0.5000 0.0000  2 Nb 2.04
N2 0.5000 0.0000 0.0000  2 Nb 2.04

Computed properties:
- Crystal system: tetragonal



[8]
A relaxed structure of NbTeSeN2. Source: Alexandria, functional PBE.

a = 4.0260 Å, b = 4.0260 Å, c = 6.1588 Å
α = 90.00°, β = 90.00°, γ = 90.00°
With the nearest neighbours (Å) after each atom.
Sites, in units of the cell vectors:
Nb1 0.0000 0.0000 0.0000  4 N 2.01
Te1 0.0000 0.0000 0.5000  4 Se 2.85, 2 Nb 3.08
Se1 0.5000 0.5000 0.5000  4 Te 2.85
N1 0.0000 0.5000 0.0000  2 Nb 2.01
N2 0.5000 0.0000 0.0000  2 Nb 2.01

Computed properties:
- Crystal system: tetragonal



[9]
A relaxed structure of TiNbSe2N. Source: Alexandria, functional PBE.

a = 5.0512 Å, b = 5.0512 Å, c = 3.6900 Å
α = 90.00°, β = 90.00°, γ = 90.00°
With the nearest neighbours (Å) after each atom.
Sites, in units of the cell vectors:
Ti1 0.0000 0.0000 0.0000  2 N 1.84
Nb1 0.5000 0.5000 0.5000  8 Se 3.13
Se1 0.0000 0.5000 0.0000  2 Ti 2.53
Se2 0.5000 0.0000 0.0000  2 Ti 2.53
N1 0.0000 0.0000 0.5000  2 Ti 1.84

Computed properties:
- Crystal system: tetragonal



[10]
A relaxed structure of TiNbSe2N. Source: Alexandria, functional PBE.

a = 5.1746 Å, b = 5.1746 Å, c = 3.8686 Å
α = 90.00°, β = 90.00°, γ = 90.00°
With the nearest neighbours (Å) after each atom.
Sites, in units of the cell vectors:
Ti1 0.0000 0.0000 0.0000  8 Se 3.23
Nb1 0.5000 0.5000 0.5000  2 N 1.93
Se1 0.0000 0.5000 0.5000  2 Nb 2.59
Se2 0.5000 0.0000 0.5000  2 Nb 2.59
N1 0.5000 0.5000 0.0000  2 Nb 1.93

Computed properties:
- Crystal system: tetragonal



[11]
A relaxed structure of NbVSe2N. Source: Alexandria, functional PBE.

a = 4.9707 Å, b = 4.9707 Å, c = 3.5797 Å
α = 90.00°, β = 90.00°, γ = 90.00°
With the nearest neighbours (Å) after each atom.
Sites, in units of the cell vectors:
Nb1 0.0000 0.0000 0.0000  8 Se 3.06
V1 0.5000 0.5000 0.5000  2 N 1.79
Se1 0.0000 0.5000 0.5000  2 V 2.49
Se2 0.5000 0.0000 0.5000  2 V 2.49
N1 0.5000 0.5000 0.0000  2 V 1.79

Computed properties:
- Crystal system: tetragonal



[12]
A relaxed structure of NbVSeN2. Source: Alexandria, functional PBE.

a = 3.7859 Å, b = 3.7859 Å, c = 4.8870 Å
α = 90.00°, β = 90.00°, γ = 90.00°
With the nearest neighbours (Å) after each atom.
Sites, in units of the cell vectors:
Nb1 0.0000 0.0000 0.0000  4 Se 2.68
V1 0.5000 0.5000 0.5000  4 N 1.89
Se1 0.5000 0.5000 0.0000  2 V 2.44, 4 Nb 2.68
N1 0.0000 0.5000 0.5000  2 V 1.89
N2 0.5000 0.0000 0.5000  2 V 1.89

Computed properties:
- Crystal system: tetragonal



The following E above lowest polymorph values (in meV per atom) correspond, in order, to the records above: 103 0 1007 0 1311 1047 4 0 69 0 0 0.